First-principles (PBE) data for TmPaCd2O6 after structural relaxation, as listed in Alexandria via LeMat-Bulk.

a = 6.0987 Å, b = 6.0987 Å, c = 6.0987 Å
α = 56.42°, β = 56.42°, γ = 56.42°
With the nearest neighbours (Å) after each atom.
Sites, in units of the cell vectors:
1 Tm 0.0000 0.0000 0.0000  6 O 2.22-2.28
2 Pa 0.4980 0.4980 0.4980  6 O 2.19-2.22
3 Cd 0.2803 0.2803 0.2803  3 O 2.25
4 Cd 0.7821 0.7821 0.7821  3 O 2.26
5 O 0.1252 0.3769 0.7160  1 Pa 2.22, 1 Tm 2.22, 1 Cd 2.26
6 O 0.2228 0.8716 0.6185  1 Pa 2.19, 1 Cd 2.25, 1 Tm 2.28
7 O 0.3769 0.7160 0.1252  1 Pa 2.22, 1 Tm 2.22, 1 Cd 2.26
8 O 0.6185 0.2228 0.8716  1 Pa 2.19, 1 Cd 2.25, 1 Tm 2.28
9 O 0.7160 0.1252 0.3769  1 Pa 2.22, 1 Tm 2.22, 1 Cd 2.26
10 O 0.8716 0.6185 0.2228  1 Pa 2.19, 1 Cd 2.25, 1 Tm 2.28

Summary:
**Formation energy (no corrections)**: -2.59 eV per atom
**E**: -71.4 eV/cell
**M_tot**: 0.00 μB per cell
**D(E_F)**: 0.000 states/eV/atom

First-principles (PBE) data for UPaCdO6 after structural relaxation, as listed in Alexandria via LeMat-Bulk.

a = 5.9329 Å, b = 5.9329 Å, c = 9.1919 Å
α = 90.00°, β = 90.00°, γ = 120.00°
With the nearest neighbours (Å) after each atom.
Sites, in units of the cell vectors:
1 U 0.3333 0.6667 0.2500  6 O 2.16
2 U 0.6667 0.3333 0.7500  6 O 2.16
3 Pa 0.3333 0.6667 0.7500  6 O 2.20
4 Pa 0.6667 0.3333 0.2500  6 O 2.20
5 Cd 0.0000 0.0000 0.0000  6 O 2.45
6 Cd 0.0000 0.0000 0.5000  6 O 2.45
7 O 0.0041 0.3570 0.1371  1 U 2.16, 1 Pa 2.20
8 O 0.0041 0.6471 0.3629  1 U 2.16, 1 Pa 2.20
9 O 0.3529 0.3570 0.3629  1 U 2.16, 1 Pa 2.20
10 O 0.3529 0.9959 0.1371  1 U 2.16, 1 Pa 2.20
11 O 0.3570 0.0041 0.6371  1 U 2.16, 1 Pa 2.20
12 O 0.3570 0.3529 0.8629  1 U 2.16, 1 Pa 2.20
13 O 0.6430 0.6471 0.1371  1 U 2.16, 1 Pa 2.20
14 O 0.6430 0.9959 0.3629  1 U 2.16, 1 Pa 2.20
15 O 0.6471 0.0041 0.8629  1 U 2.16, 1 Pa 2.20
16 O 0.6471 0.6430 0.6371  1 U 2.16, 1 Pa 2.20
17 O 0.9959 0.3529 0.6371  1 U 2.16, 1 Pa 2.20
18 O 0.9959 0.6430 0.8629  1 U 2.16, 1 Pa 2.20

Summary:
**Formation energy (no corrections)**: -2.79 eV per atom
**E**: -153.2 eV/cell
**M_tot**: 2.00 μB per cell
**D(E_F)**: 0.342 states/eV/atom